1.
The following is a PBE-GGA calculation of a relaxed structure of Na3C2O8, from the Alexandria database.

Cell: 10.628 10.628 10.111 Å, 62.68 62.68 19.12°
Each line ends with the local moment (μB).
Sites, in units of the cell vectors:
1 Na 0.766 0.234 0.750  0.00
2 Na 0.234 0.766 0.250  0.00
3 Na 0.959 0.702 0.845  0.00
4 Na 0.298 0.041 0.655  0.00
5 Na 0.041 0.298 0.155  0.00
6 Na 0.702 0.959 0.345  0.00
7 C 0.224 0.570 0.055  0.00
8 C 0.430 0.776 0.445  0.00
9 C 0.776 0.430 0.945  0.00
10 C 0.570 0.224 0.555  0.00
11 O 0.342 0.311 0.128  0.12
12 O 0.689 0.658 0.372  0.12
13 O 0.658 0.689 0.872  0.12
14 O 0.311 0.342 0.628  0.12
15 O 0.179 0.655 0.152  0.02
16 O 0.345 0.821 0.348  0.02
17 O 0.821 0.345 0.848  0.02
18 O 0.655 0.179 0.652  0.02
19 O 0.185 0.662 0.919  0.00
20 O 0.338 0.815 0.581  0.00
21 O 0.815 0.338 0.081  0.00
22 O 0.662 0.185 0.419  0.00
23 O 0.386 0.203 0.037  0.28
24 O 0.797 0.614 0.463  0.28
25 O 0.614 0.797 0.963  0.28
26 O 0.203 0.386 0.537  0.28

Properties
D(E_F): 0.292 states/eV per atom
volume: 12.7 Å³ per atom
electronic total energy: -5.99 eV/atom
uncorrected formation energy: -1.211 eV/atom

2.
The following is a PBE-GGA calculation of a relaxed structure of InTe2Pt, from the Alexandria database.

Cell: 3.360 3.360 9.395 Å, 90.00 90.00 90.00°
Sites, in units of the cell vectors:
1 In 0.000 0.000 0.548
2 Pt 0.500 0.500 0.778
3 Te 0.000 0.000 0.920
4 Te 0.500 0.500 0.254

Properties
D(E_F): 0.630 states/eV per atom
volume: 26.5 Å³ per atom
electronic total energy: -3.71 eV/atom
uncorrected formation energy: 0.053 eV/atom

3.
The following is a PBE-GGA calculation of a relaxed structure of Ca12Ag6Pb, from the Alexandria database.

Cell: 9.134 9.134 9.134 Å, 109.47 109.47 109.47°
Sites, in units of the cell vectors:
1 Ca 0.291 0.108 0.818
2 Ca 0.291 0.473 0.182
3 Ca 0.709 0.527 0.818
4 Ca 0.709 0.892 0.182
5 Ca 0.108 0.818 0.291
6 Ca 0.473 0.182 0.291
7 Ca 0.527 0.818 0.709
8 Ca 0.892 0.182 0.709
9 Ca 0.818 0.291 0.108
10 Ca 0.182 0.291 0.473
11 Ca 0.818 0.709 0.527
12 Ca 0.182 0.709 0.892
13 Ag 0.369 0.500 0.869
14 Ag 0.631 0.500 0.131
15 Ag 0.500 0.869 0.369
16 Ag 0.500 0.131 0.631
17 Ag 0.869 0.369 0.500
18 Ag 0.131 0.631 0.500
19 Pb 0.000 0.000 0.000

Properties
formation energy: -5.11 eV/f.u.
D(E_F): 0.758 states/eV per atom
volume: 30.9 Å³ per atom
electronic total energy: -2.63 eV/atom

4.
The following is a PBE-GGA calculation of a relaxed structure of NiH4C2S4N2, from the Alexandria database.

Cell: 8.081 8.420 12.926 Å, 90.00 90.00 91.04°
Each line ends with the local moment (μB).
Sites, in units of the cell vectors:
1 Ni 0.164 0.950 0.870  0.07
2 Ni 0.336 0.550 0.370  0.07
3 Ni 0.836 0.050 0.130  0.07
4 Ni 0.664 0.450 0.630  0.07
5 H 0.631 0.959 0.762  0.00
6 H 0.869 0.541 0.262  0.00
7 H 0.694 0.941 0.498  0.00
8 H 0.324 0.541 0.089  0.00
9 H 0.194 0.441 0.002  0.00
10 H 0.508 0.144 0.156  0.00
11 H 0.008 0.644 0.344  0.00
12 H 0.176 0.959 0.589  0.00
13 H 0.806 0.559 0.998  0.00
14 H 0.369 0.041 0.238  0.00
15 H 0.131 0.459 0.738  0.00
16 H 0.306 0.059 0.502  0.00
17 H 0.824 0.041 0.411  0.00
18 H 0.992 0.356 0.656  0.00
19 H 0.676 0.459 0.911  0.00
20 H 0.492 0.856 0.844  0.00
21 C 0.721 0.179 0.525  0.00
22 C 0.892 0.779 0.235  0.00
23 C 0.279 0.821 0.475  0.00
24 C 0.108 0.221 0.765  0.00
25 C 0.608 0.721 0.735  0.00
26 C 0.221 0.679 0.975  0.00
27 C 0.779 0.321 0.025  0.00
28 C 0.392 0.279 0.265  0.00
29 S 0.242 0.202 0.867  0.00
30 S 0.758 0.798 0.133  0.00
31 S 0.258 0.298 0.367  0.00
32 S 0.981 0.962 0.261  0.00
33 S 0.311 0.860 0.001  0.00
34 S 0.811 0.360 0.499  0.00
35 S 0.742 0.702 0.633  0.00
36 S 0.411 0.802 0.371  0.00
37 S 0.019 0.038 0.739  0.00
38 S 0.089 0.698 0.871  0.00
39 S 0.519 0.538 0.761  0.00
40 S 0.589 0.198 0.629  0.00
41 S 0.911 0.302 0.129  0.00
42 S 0.481 0.462 0.239  0.00
43 S 0.189 0.640 0.501  0.00
44 S 0.689 0.140 0.999  0.00
45 N 0.752 0.455 0.975  0.00
46 N 0.922 0.646 0.286  0.00
47 N 0.078 0.354 0.714  0.00
48 N 0.748 0.045 0.475  0.00
49 N 0.578 0.854 0.786  0.00
50 N 0.252 0.955 0.525  0.00
51 N 0.422 0.146 0.214  0.00
52 N 0.248 0.545 0.025  0.00

Properties
volume: 16.9 Å³ per atom
electronic total energy: -5.59 eV/atom

5.
The following is a PBE-GGA calculation of a relaxed structure of MgTe, from the Alexandria database.

Cell: 7.639 7.692 10.054 Å, 90.00 90.00 90.00°
Sites, in units of the cell vectors:
1 Mg 0.366 0.115 0.519
2 Mg 0.866 0.385 0.481
3 Mg 0.634 0.615 0.981
4 Mg 0.134 0.885 0.019
5 Mg 0.373 0.602 0.276
6 Mg 0.873 0.898 0.724
7 Mg 0.627 0.102 0.224
8 Mg 0.127 0.398 0.776
9 Te 0.729 0.048 0.496
10 Te 0.229 0.452 0.504
11 Te 0.271 0.548 0.004
12 Te 0.771 0.952 0.996
13 Te 0.291 0.961 0.267
14 Te 0.791 0.539 0.733
15 Te 0.709 0.461 0.233
16 Te 0.209 0.039 0.767

Properties
D(E_F): 0.000 states/eV per atom
volume: 36.9 Å³ per atom
electronic total energy: -3.14 eV/atom
uncorrected formation energy: -0.769 eV/atom

6.
The following is a PBE-GGA calculation of a relaxed structure of Tb7Y12Pb, from the Alexandria database.

Cell: 8.695 8.695 8.695 Å, 87.58 87.58 87.58°
Sites, in units of the cell vectors:
1 Tb 0.854 0.610 0.927
2 Tb 0.390 0.073 0.146
3 Tb 0.073 0.146 0.390
4 Tb 0.500 0.500 0.500
5 Tb 0.927 0.854 0.610
6 Tb 0.610 0.927 0.854
7 Tb 0.146 0.390 0.073
8 Y 0.866 0.253 0.742
9 Y 0.747 0.258 0.134
10 Y 0.612 0.142 0.501
11 Y 0.858 0.499 0.388
12 Y 0.258 0.134 0.747
13 Y 0.499 0.388 0.858
14 Y 0.501 0.612 0.142
15 Y 0.742 0.866 0.253
16 Y 0.142 0.501 0.612
17 Y 0.388 0.858 0.499
18 Y 0.253 0.742 0.866
19 Y 0.134 0.747 0.258
20 Pb 0.000 0.000 0.000

Properties
formation energy: 3.07 eV/f.u.
D(E_F): 1.783 states/eV per atom
volume: 32.8 Å³ per atom
electronic total energy: -5.53 eV/atom